A plane-wave DFT calculation with PBE was carried out for a geometry-optimized SbTe2PRh structure.

The structure in POSCAR format:
```
SbTe2PRh
1.0
-1.267 3.514 -3.576
-4.436 -2.504 -0.890
-2.241 2.733 3.480
Sb Te Rh P
1 2 1 1
direct
0.000 0.000 0.500
0.000 0.500 0.000
0.500 0.000 0.000
0.500 0.500 0.500
0.000 0.000 0.000
```

Spin magnetization   0.5 μB/cell
DOS at the Fermi energy   0.955 states/eV per atom
Raw formation energy   924 meV/atom